one) {
  "formula": "Tb4Dy4Tm",
  "functional": "PBE",
  "state": "optimized geometry",
  "magmom_total_mub_per_cell": 0.0,
  "lattice": [[-0.0452, -2.5862, 4.8375], [7.5887, -4.1915, 0.9628], [7.7275, 1.7878, 4.1589]],
  "species": ["Dy", "Dy", "Dy", "Dy", "Tb", "Tb", "Tb", "Tb", "Tm"],
  "fractional_positions": [[0.6352, 0.4313, 0.2959], [0.3648, 0.5687, 0.7041], [0.0727, 0.2366, 0.6146], [0.9273, 0.7634, 0.3854], [0.7178, 0.8561, 0.7074], [0.1312, 0.7033, 0.0321], [0.2822, 0.1439, 0.2926], [0.8688, 0.2967, 0.9679], [0.5000, 0.0000, 0.0000]]
}

two) {
  "formula": "Tb4Dy4Tm",
  "functional": "PBE",
  "state": "optimized geometry",
  "magmom_total_mub_per_cell": 0.0,
  "lattice": [[-3.3845, 1.6031, 3.3034], [-1.0140, -5.6300, 5.4679], [3.7874, 3.8367, 5.7929]],
  "species": ["Tb", "Tb", "Tb", "Tb", "Dy", "Dy", "Dy", "Dy", "Tm"],
  "fractional_positions": [[0.6664, 0.6673, 0.9998], [0.3336, 0.3327, 0.0002], [0.3337, 0.9998, 0.3327], [0.6663, 0.0002, 0.6673], [0.6669, 0.3332, 0.3330], [0.9999, 0.6670, 0.3332], [0.3331, 0.6668, 0.6670], [0.0001, 0.3330, 0.6668], [0.0000, 0.0000, 0.0000]]
}

Least stable of them? one).